(1)
# NiTe4Rh | Alexandria | GGA-PBE | optimized geometry
# Volume   24.07 A^3/atom
# Spin magnetization   0.00 μB per formula unit
# Relative energy among the computed polymorphs   0 meV per atom
# Crystal system   monoclinic
# Energy relative to the elements, uncorrected   -0.318 eV per atom
data_NiTe4Rh
_chemical_formula_sum 'Ni1 Te4 Rh1'
_cell_length_a 5.329
_cell_length_b 3.958
_cell_length_c 6.848
_cell_angle_alpha 90.00
_cell_angle_beta 90.29
_cell_angle_gamma 90.00
_symmetry_space_group_name_H-M 'P 1 2/m 1'
_symmetry_Int_Tables_number 10
loop_
_symmetry_equiv_pos_as_xyz
'x,y,z'
'-x,-y,-z'
'-x,y,-z'
'x,-y,z'
loop_
_atom_site_label
_atom_site_fract_x
_atom_site_fract_y
_atom_site_fract_z
Ni1 0.000 0.000 0.000
Te1 0.239 0.500 0.161
Te2 0.255 0.000 0.671
Rh1 0.000 0.500 0.500

(2)
# LaHfFe2As | Alexandria | GGA-PBE | optimized geometry
# Volume   20.05 A^3/atom
# DFT formation energy   277 meV per atom
# Spin magnetization   4.19 μB per formula unit
# Crystal system   tetragonal
data_LaHfFe2As
_chemical_formula_sum 'La1 Hf1 Fe2 As1'
_cell_length_a 4.477
_cell_length_b 4.477
_cell_length_c 5.000
_cell_angle_alpha 90.00
_cell_angle_beta 90.00
_cell_angle_gamma 90.00
_symmetry_space_group_name_H-M 'P 4/m m m'
_symmetry_Int_Tables_number 123
_symmetry_space_group_name_Hall '-P 4 2'
loop_
_atom_site_label
_atom_site_fract_x
_atom_site_fract_y
_atom_site_fract_z
La1 0.000 0.000 0.000
Hf1 0.500 0.500 0.000
Fe1 0.000 0.500 0.500
As1 0.500 0.500 0.500

(3)
# Tb2Co3P4Ir | Alexandria | GGA-PBE | optimized geometry
# Volume   14.43 A^3/atom
# DFT formation energy   -1025 meV per atom
# Spin magnetization   0.00 μB per formula unit
# Crystal system   tetragonal
data_Tb2Co3P4Ir
_chemical_formula_sum 'Tb2 Co3 P4 Ir1'
_cell_length_a 3.958
_cell_length_b 3.958
_cell_length_c 9.212
_cell_angle_alpha 90.00
_cell_angle_beta 90.00
_cell_angle_gamma 90.00
_symmetry_space_group_name_H-M 'P -4 m 2'
_symmetry_Int_Tables_number 115
loop_
_symmetry_equiv_pos_as_xyz
'x,y,z'
'y,-x,-z'
'-x,-y,z'
'-y,x,-z'
'-x,y,z'
'-y,-x,-z'
'x,-y,z'
'y,x,-z'
loop_
_atom_site_label
_atom_site_fract_x
_atom_site_fract_y
_atom_site_fract_z
Tb1 0.000 0.500 0.238
Co1 0.000 0.500 0.889
Co2 0.500 0.500 0.500
P1 0.000 0.000 0.000
P2 0.000 0.500 0.646
P3 0.500 0.500 0.000
Ir1 0.000 0.000 0.500

(4)
# Sm3TmPa3N8 | Alexandria | GGA-PBE | optimized geometry
# Volume   16.27 A^3/atom
# Spin magnetization   0.00 μB per formula unit
# Crystal system   trigonal
# Energy relative to the elements, uncorrected   -1.499 eV per atom
data_Sm3TmPa3N8
_chemical_formula_sum 'Sm9 Tm3 Pa9 N24'
_cell_length_a 7.0082
_cell_length_b 7.0082
_cell_length_c 17.2179
_cell_angle_alpha 90.00
_cell_angle_beta 90.00
_cell_angle_gamma 120.00
_symmetry_space_group_name_H-M 'R -3 m'
_symmetry_Int_Tables_number 166
_symmetry_space_group_name_Hall '-R 3 2"'
loop_
_atom_site_label
_atom_site_fract_x
_atom_site_fract_y
_atom_site_fract_z
Sm1 0.0000 0.5000 0.0000
Tm1 0.0000 0.0000 0.5000
Pa1 0.0000 0.5000 0.5000
N1 0.0000 0.0000 0.2430
N2 0.0012 0.5006 0.2357